VASP calculation (PBE-GGA) on a relaxed Ti6In2Co crystal.

Space group: Cmmm, No. 65
Calculated volume (Å³ per cell): 162.15
Energy of formation from the pure elements (eV/atom): 0.0511
Total magnetic moment (μB/f.u.): 1.3

Unit cell a=4.6499 b=5.8268 c=8.1198 alpha=111.03 beta=124.94 gamma=90.00
With the nearest neighbours (Å) after each atom.
Element x y z (fractional)
Ti (0.2691, 0.3961, 0.2690)  1 Co 2.22
Ti (0.5000, 0.2596, 0.0000)  2 Co 2.77, 6 Ti 2.80-3.02
Ti (0.7309, 0.1272, 0.7310)  1 Co 2.22
Ti (0.5000, 0.7404, 0.0000)  2 Co 2.77, 6 Ti 2.80-3.02
Ti (0.2691, 0.8728, 0.2690)  1 Co 2.22
Ti (0.7309, 0.6039, 0.7310)  1 Co 2.22
Co (0.0000, 0.0000, 0.0000)  4 Ti 2.22
In (0.9888, 0.7443, 0.4887)  2 In 2.92, 10 Ti 3.01-3.24
In (0.0112, 0.2557, 0.5113)  2 In 2.92, 10 Ti 3.01-3.24

***

VASP calculation (PBE-GGA) on a relaxed Tb2DyCrN4 crystal.

Space group: Cmcm, No. 63
Calculated volume (Å³ per cell): 225.59
Energy relative to the elements, uncorrected (eV/atom): -1.1987
Total magnetic moment (μB/f.u.): 2.1

Unit cell a=3.3748 b=5.9482 c=11.7193 alpha=90.00 beta=90.00 gamma=106.48
With the nearest neighbours (Å) after each atom.
Element x y z (fractional)
Tb (0.6315, 0.2630, 0.0429)  6 N 2.31-2.54
Tb (0.3685, 0.7370, 0.5429)  6 N 2.31-2.54
Tb (0.3685, 0.7370, 0.9571)  6 N 2.31-2.54
Tb (0.6315, 0.2630, 0.4571)  6 N 2.31-2.54
N (0.5670, 0.1339, 0.2500)  2 Cr 1.98
N (0.2686, 0.5372, 0.3670)  1 Cr 1.87
N (0.7314, 0.4628, 0.6330)  1 Cr 1.87
N (0.7314, 0.4628, 0.8670)  1 Cr 1.87
N (0.4330, 0.8661, 0.7500)  2 Cr 1.98
N (0.0000, 0.0000, 0.5000)  4 Tb 2.31
N (0.0000, 0.0000, 0.0000)  4 Tb 2.31
N (0.2686, 0.5372, 0.1330)  1 Cr 1.87
Cr (0.8424, 0.6848, 0.7500)  4 N 1.87-1.98
Cr (0.1576, 0.3152, 0.2500)  4 N 1.87-1.98
Dy (0.8892, 0.7784, 0.2500)  6 N 2.57-2.64
Dy (0.1108, 0.2216, 0.7500)  6 N 2.57-2.64